# ScFeNi6

A relaxed ScFeNi6 crystal (PBE-GGA, Alexandria via LeMat-Bulk).

Results
The crystal system is orthorhombic. Its calculated volume is 11.94 A^3/atom. The total magnetization is 5.2 μB/f.u. The calculation puts the energy of formation from the pure elements at -225 meV/atom.

Cell and atoms, written as CIF:
```
data_ScFeNi6
_space_group_name_H-M_alt 'C m m m'
_space_group_IT_number 65
_space_group_name_Hall '-C 2 2'
_cell_length_a 7.238
_cell_length_b 10.270
_cell_length_c 10.283
_cell_angle_alpha 90.00
_cell_angle_beta 90.00
_cell_angle_gamma 90.00
loop_
_atom_site_label
_atom_site_type_symbol
_atom_site_fract_x
_atom_site_fract_y
_atom_site_fract_z
Sc1 Sc 0.000 0.000 0.249
Sc2 Sc 0.000 0.246 0.500
Fe1 Fe 0.000 0.243 0.000
Fe2 Fe 0.000 0.500 0.247
Ni1 Ni 0.000 0.000 0.000
Ni2 Ni 0.000 0.000 0.500
Ni3 Ni 0.000 0.255 0.241
Ni4 Ni 0.000 0.500 0.000
Ni5 Ni 0.000 0.500 0.500
Ni6 Ni 0.240 0.377 0.369
Ni7 Ni 0.242 0.372 0.120
```